No. 1
First-principles (PBE) data for a relaxed TaCdAs2 crystal, as listed in the Alexandria database.

Properties
Theoretical density: 9.1 Mg/m³
Total DFT energy (no corrections): -5.434 eV/atom
Crystal system: monoclinic

Lattice parameters (Å, degrees): 9.1097 3.2333 5.5336 90.00 99.05 90.00
Space group C2/m (No. 12)
One atom of each set of equivalent atoms:
1 Ta 0.0000 0.0000 0.0000
2 Cd 0.0000 0.5000 0.5000
3 As 0.2203 0.5000 0.1866

---

No. 2
First-principles (PBE) data for a relaxed TaCd2As crystal, as listed in the Alexandria database.

Properties
Theoretical density: 10.1 Mg/m³
Total DFT energy (no corrections): -4.319 eV/atom
Crystal system: orthorhombic

Lattice parameters (Å, degrees): 5.4324 9.5325 3.0584 90.00 90.00 90.00
Space group Cmmm (No. 65)
One atom of each set of equivalent atoms:
1 Ta 0.0000 0.0000 0.0000
2 Cd 0.2500 0.2500 0.5000
3 As 0.0000 0.5000 0.0000

---

No. 3
First-principles (PBE) data for a relaxed TaCd2As crystal, as listed in the Alexandria database.

Properties
Theoretical density: 10.0 Mg/m³
Total DFT energy (no corrections): -4.389 eV/atom
Crystal system: monoclinic

Lattice parameters (Å, degrees): 2.8803 4.8454 5.8065 90.00 98.68 90.00
Space group Pm (No. 6)
One atom of each set of equivalent atoms:
1 Ta 0.0000 0.0000 0.0000
2 Cd 0.3877 0.5000 0.7269
3 Cd 0.6623 0.0000 0.4767
4 As 0.1668 0.5000 0.1833

---

No. 4
First-principles (PBE) data for a relaxed TaCdAs2 crystal, as listed in the Alexandria database.

Properties
Theoretical density: 8.8 Mg/m³
Total DFT energy (no corrections): -5.595 eV/atom
Crystal system: trigonal

Lattice parameters (Å, degrees): 3.5516 3.5516 23.0385 90.00 90.00 120.00
Space group R3m (No. 160, hexagonal axes)
One atom of each set of equivalent atoms:
1 Ta 0.0000 0.0000 0.0000
2 Cd 0.0000 0.0000 0.1633
3 As 0.0000 0.0000 0.4045
4 As 0.0000 0.0000 0.5941

---

No. 5
First-principles (PBE) data for a relaxed TaCdAs2 crystal, as listed in the Alexandria database.

Properties
Theoretical density: 10.0 Mg/m³
Total DFT energy (no corrections): -5.304 eV/atom
Crystal system: orthorhombic

Lattice parameters (Å, degrees): 6.5141 6.5279 3.4518 90.00 90.00 90.00
Space group Cmmm (No. 65)
One atom of each set of equivalent atoms:
1 Ta 0.0000 0.0000 0.0000
2 Cd 0.0000 0.5000 0.0000
3 As 0.2500 0.2500 0.5000

---

No. 6
First-principles (PBE) data for a relaxed TaCdAs2 crystal, as listed in the Alexandria database.

Properties
Theoretical density: 8.5 Mg/m³
Total DFT energy (no corrections): -5.570 eV/atom
Crystal system: monoclinic

Lattice parameters (Å, degrees): 13.6753 3.4071 3.7206 90.00 90.11 90.00
Space group Cm (No. 8)
One atom of each set of equivalent atoms:
1 Ta 0.0000 0.0000 0.0000
2 Cd 0.2314 0.0000 0.5035
3 As 0.1437 0.5000 0.0025
4 As 0.4294 0.0000 0.4994

---

No. 7
First-principles (PBE) data for a relaxed TaCd2As2 crystal, as listed in the Alexandria database.

Properties
Theoretical density: 9.1 Mg/m³
Total DFT energy (no corrections): -4.024 eV/atom
Crystal system: tetragonal

Lattice parameters (Å, degrees): 7.5398 7.5398 3.5678 90.00 90.00 90.00
Space group P4/mbm (No. 127)
One atom of each set of equivalent atoms:
1 Ta 0.0000 0.0000 0.0000
2 Cd 0.1302 0.3698 0.0000
3 As 0.1775 0.6775 0.5000

---

No. 8
First-principles (PBE) data for a relaxed Ta3CdAs crystal, as listed in the Alexandria database.

Properties
E above lowest polymorph: 1300 meV/atom
Theoretical density: 9.9 Mg/m³
Total DFT energy (no corrections): -6.027 eV/atom
Crystal system: cubic

Lattice parameters (Å, degrees): 4.9664 4.9664 4.9664 90.00 90.00 90.00
Space group Pm-3m (No. 221)
One atom of each set of equivalent atoms:
1 Ta 0.0000 0.0000 0.5000
2 Cd 0.0000 0.0000 0.0000
3 As 0.5000 0.5000 0.5000